The following is a PBE-GGA calculation of an optimized crystal structure of Ag2AsRu, from the Alexandria database.

Lattice parameters (Å, degrees): 3.0851 4.8508 9.4265 90.00 90.00 90.00
Space group Cmm2 (No. 35)
Symmetry-distinct sites (fractional):
Ag (0.0000, 0.0000, 0.0000)
Ag (0.0000, 0.5000, 0.2562)
As (0.0000, 0.0000, 0.5499)
Ru (0.0000, 0.5000, 0.7458)

total moment: 0.000 μB/f.u.
uncorrected energy: -4.638 eV per atom
crystal system: orthorhombic
volume: 17.63 Å³ per atom
DOS(E_F): 0.79 states/eV per atom
energy relative to the elements: 103.9 kJ/mol of formula units